Entry 1:
First-principles (GGA-PBE) data for a relaxed structure of AlInRe2, as listed in Alexandria. Values from VASP.

Summary:
Relative energy among the computed polymorphs   229 meV/atom
Formation energy from the elements   0.332 eV/atom

Quantum ESPRESSO input file:
```
&SYSTEM
  ibrav = 0, nat = 4, ntyp = 3
/
ATOMIC_SPECIES
Al 26.98 Al.upf
In 114.82 In.upf
Re 186.21 Re.upf
CELL_PARAMETERS angstrom
-1.541 2.268 4.672
1.541 -2.268 4.672
1.541 2.268 -4.672
ATOMIC_POSITIONS crystal
Al 0.000 0.000 0.000
In 0.276 0.776 0.500
Re 0.538 0.538 0.000
Re 0.769 0.269 0.500
```

---

Entry 2:
First-principles (GGA-PBE) data for a relaxed structure of CaSc3P, as listed in Alexandria. Values from VASP.

Summary:
Relative energy among the computed polymorphs   0 meV/atom
Formation energy from the elements   -0.412 eV/atom

Quantum ESPRESSO input file:
```
&SYSTEM
  ibrav = 0, nat = 5, ntyp = 3
/
ATOMIC_SPECIES
Ca 40.08 Ca.upf
Sc 44.96 Sc.upf
P 30.97 P.upf
CELL_PARAMETERS angstrom
5.095 0.000 0.000
0.000 5.095 0.000
0.000 0.000 5.095
ATOMIC_POSITIONS crystal
Ca 0.000 0.000 0.000
Sc 0.000 0.500 0.500
Sc 0.500 0.000 0.500
Sc 0.500 0.500 0.000
P 0.500 0.500 0.500
```

---

Entry 3:
First-principles (GGA-PBE) data for a relaxed structure of PrMn2FeN4, as listed in Alexandria. Values from VASP.

Summary:
Uncorrected formation energy   -0.31 eV per atom

Quantum ESPRESSO input file:
```
&SYSTEM
  ibrav = 0, nat = 16, ntyp = 4
/
ATOMIC_SPECIES
Pr 140.91 Pr.upf
Mn 54.94 Mn.upf
Fe 55.84 Fe.upf
N 14.01 N.upf
CELL_PARAMETERS angstrom
1.618 -5.416 0.000
1.618 5.416 0.000
0.000 0.000 10.158
ATOMIC_POSITIONS crystal
Pr 0.092 0.908 0.750
Pr 0.908 0.092 0.250
Mn 0.367 0.633 0.548
Mn 0.367 0.633 0.952
Mn 0.633 0.367 0.048
Mn 0.633 0.367 0.452
Fe 0.171 0.829 0.250
Fe 0.829 0.171 0.750
N 0.000 0.000 0.000
N 0.000 0.000 0.500
N 0.269 0.731 0.109
N 0.269 0.731 0.391
N 0.421 0.579 0.750
N 0.579 0.421 0.250
N 0.731 0.269 0.609
N 0.731 0.269 0.891
```

---

Entry 4:
First-principles (GGA-PBE) data for a relaxed structure of Zr2ScI, as listed in Alexandria. Values from VASP.

Summary:
Relative energy among the computed polymorphs   0 meV/atom
Uncorrected formation energy   0.24 eV per atom

Quantum ESPRESSO input file:
```
&SYSTEM
  ibrav = 0, nat = 8, ntyp = 3
/
ATOMIC_SPECIES
Zr 91.22 Zr.upf
Sc 44.96 Sc.upf
I 126.90 I.upf
CELL_PARAMETERS angstrom
-2.129 2.129 10.879
2.129 -2.129 10.879
2.129 2.129 -10.879
ATOMIC_POSITIONS crystal
Zr 0.123 0.625 0.998
Zr 0.375 0.373 0.498
Zr 0.627 0.125 0.002
Zr 0.875 0.877 0.502
Sc 0.250 0.750 0.500
Sc 0.500 0.500 0.000
I 0.000 0.000 0.000
I 0.750 0.250 0.500
```

---

Entry 5:
First-principles (GGA-PBE) data for a relaxed structure of CoCu4Mo, as listed in Alexandria. Values from VASP.

Summary:
Formation energy from the elements   0.292 eV/atom

Quantum ESPRESSO input file:
```
&SYSTEM
  ibrav = 0, nat = 6, ntyp = 3
/
ATOMIC_SPECIES
Co 58.93 Co.upf
Cu 63.55 Cu.upf
Mo 95.94 Mo.upf
CELL_PARAMETERS angstrom
0.000 3.342 3.342
3.342 0.000 3.342
3.342 3.342 0.000
ATOMIC_POSITIONS crystal
Co 0.000 0.000 0.000
Cu 0.375 0.375 0.375
Cu 0.375 0.375 0.876
Cu 0.375 0.876 0.375
Cu 0.876 0.375 0.375
Mo 0.750 0.750 0.750
```

---

Entry 6:
First-principles (GGA-PBE) data for a relaxed structure of NbZn2Sb, as listed in Alexandria. Values from VASP.

Summary:
Uncorrected formation energy   0.31 eV per atom

Quantum ESPRESSO input file:
```
&SYSTEM
  ibrav = 0, nat = 8, ntyp = 3
/
ATOMIC_SPECIES
Nb 92.91 Nb.upf
Zn 65.41 Zn.upf
Sb 121.76 Sb.upf
CELL_PARAMETERS angstrom
-3.793 3.793 2.728
3.793 -3.793 2.728
3.793 3.793 -2.728
ATOMIC_POSITIONS crystal
Nb 0.000 0.000 0.000
Nb 0.750 0.250 0.500
Zn 0.122 0.625 0.997
Zn 0.375 0.372 0.497
Zn 0.628 0.125 0.003
Zn 0.875 0.878 0.503
Sb 0.250 0.750 0.500
Sb 0.500 0.500 0.000
```

---

Entry 7:
First-principles (GGA-PBE) data for a relaxed structure of NaCaGdAu, as listed in Alexandria. Values from VASP.

Summary:
Formation energy from the elements   -0.248 eV/atom

Quantum ESPRESSO input file:
```
&SYSTEM
  ibrav = 0, nat = 4, ntyp = 4
/
ATOMIC_SPECIES
Na 22.99 Na.upf
Ca 40.08 Ca.upf
Gd 157.25 Gd.upf
Au 196.97 Au.upf
CELL_PARAMETERS angstrom
0.000 3.754 3.754
3.754 0.000 3.754
3.754 3.754 0.000
ATOMIC_POSITIONS crystal
Na 0.000 0.000 0.000
Ca 0.250 0.250 0.250
Gd 0.750 0.750 0.750
Au 0.500 0.500 0.500
```

---

Entry 8:
First-principles (GGA-PBE) data for a relaxed structure of Ba2ZnNi, as listed in Alexandria. Values from VASP.

Summary:
Formation energy from the elements   0.107 eV/atom

Quantum ESPRESSO input file:
```
&SYSTEM
  ibrav = 0, nat = 4, ntyp = 3
/
ATOMIC_SPECIES
Ba 137.33 Ba.upf
Zn 65.41 Zn.upf
Ni 58.69 Ni.upf
CELL_PARAMETERS angstrom
2.253 1.301 8.247
-2.253 1.301 8.247
0.000 -2.601 8.247
ATOMIC_POSITIONS crystal
Ba 0.236 0.236 0.236
Ba 0.764 0.764 0.764
Zn 0.000 0.000 0.000
Ni 0.500 0.500 0.500
```

---

Entry 9:
First-principles (GGA-PBE) data for a relaxed structure of Ba4OsPb, as listed in Alexandria. Values from VASP.

Summary:
Formation energy from the elements   1.032 eV/atom

Quantum ESPRESSO input file:
```
&SYSTEM
  ibrav = 0, nat = 6, ntyp = 3
/
ATOMIC_SPECIES
Ba 137.33 Ba.upf
Os 190.23 Os.upf
Pb 207.20 Pb.upf
CELL_PARAMETERS angstrom
0.000 4.877 4.877
4.877 0.000 4.877
4.877 4.877 0.000
ATOMIC_POSITIONS crystal
Ba 0.125 0.125 0.125
Ba 0.125 0.125 0.626
Ba 0.125 0.626 0.125
Ba 0.626 0.125 0.125
Os 0.750 0.750 0.750
Pb 0.500 0.500 0.500
```

---

Entry 10:
First-principles (GGA-PBE) data for a relaxed structure of MgZr2Se, as listed in Alexandria. Values from VASP.

Summary:
Relative energy among the computed polymorphs   627 meV/atom
Uncorrected formation energy   0.15 eV per atom

Quantum ESPRESSO input file:
```
&SYSTEM
  ibrav = 0, nat = 4, ntyp = 3
/
ATOMIC_SPECIES
Mg 24.30 Mg.upf
Zr 91.22 Zr.upf
Se 78.96 Se.upf
CELL_PARAMETERS angstrom
0.000 3.500 3.500
3.500 0.000 3.500
3.500 3.500 0.000
ATOMIC_POSITIONS crystal
Mg 0.000 0.000 0.000
Zr 0.500 0.500 0.500
Zr 0.750 0.750 0.750
Se 0.250 0.250 0.250
```

---

Entry 11:
First-principles (GGA-PBE) data for a relaxed structure of Li4U3AgS8, as listed in Alexandria. Values from VASP.

Summary:
Uncorrected formation energy   -1.25 eV per atom

Quantum ESPRESSO input file:
```
&SYSTEM
  ibrav = 0, nat = 16, ntyp = 4
/
ATOMIC_SPECIES
Li 6.94 Li.upf
U 238.03 U.upf
Ag 107.87 Ag.upf
S 32.06 S.upf
CELL_PARAMETERS angstrom
3.852 2.224 6.233
-3.852 2.224 6.233
0.000 -4.448 6.233
ATOMIC_POSITIONS crystal
Li 0.000 0.000 0.000
Li 0.000 0.500 0.500
Li 0.500 0.000 0.500
Li 0.500 0.500 0.000
U 0.000 0.000 0.500
U 0.000 0.500 0.000
U 0.500 0.000 0.000
Ag 0.500 0.500 0.500
S 0.242 0.756 0.756
S 0.244 0.244 0.758
S 0.244 0.758 0.244
S 0.253 0.253 0.253
S 0.747 0.747 0.747
S 0.756 0.242 0.756
S 0.756 0.756 0.242
S 0.758 0.244 0.244
```

---

Entry 12:
First-principles (GGA-PBE) data for a relaxed structure of CaCd7Ag4, as listed in Alexandria. Values from VASP.

Summary:
Formation energy from the elements   0.038 eV/atom

Quantum ESPRESSO input file:
```
&SYSTEM
  ibrav = 0, nat = 12, ntyp = 3
/
ATOMIC_SPECIES
Ca 40.08 Ca.upf
Cd 112.41 Cd.upf
Ag 107.87 Ag.upf
CELL_PARAMETERS angstrom
5.996 -2.716 0.000
5.996 2.716 0.000
-5.733 0.000 8.519
ATOMIC_POSITIONS crystal
Ca 0.000 0.000 0.000
Cd 0.058 0.058 0.371
Cd 0.216 0.216 0.890
Cd 0.342 0.342 0.425
Cd 0.500 0.500 0.000
Cd 0.658 0.658 0.575
Cd 0.784 0.784 0.110
Cd 0.942 0.942 0.629
Ag 0.297 0.297 0.674
Ag 0.424 0.424 0.219
Ag 0.576 0.576 0.781
Ag 0.703 0.703 0.326
```

---

The calculation returns the following total magnetization values, one per record and in order: 0.0; 1.4; 8.9; 0.0; 0.9; 0.0; 7.5; 0.0; 1.4; 2.0; 7.0; 0.0 μB per cell.
The calculation returns the following volume values, one per record and in order: 65; 132; 178; 197; 75; 157; 106; 145; 232; 86; 320; 277 Å³ per cell.